# 1
The following is a PBE calculation of an optimized crystal structure of Ir, from Alexandria via LeMat-Bulk.

Cell: 3.6204 2.6737 8.4765 Å, 90.00 115.55 90.00°
With the nearest neighbours (Å) after each atom.
Atoms (fractional coordinates):
Ir (0.1401, 0.0000, 0.8911)  6 Ir 2.46-2.67
Ir (0.8599, 0.5000, 0.6089)  6 Ir 2.46-2.67
Ir (0.1401, 0.5000, 0.3911)  6 Ir 2.46-2.67
Ir (0.8599, 0.0000, 0.1089)  6 Ir 2.46-2.67

Output
* N(E_F): 3.534 states/eV/cell
* energy above the most stable polymorph in this dataset: 677 meV per atom
* space group: No. 12
* V: 74 Å³ per cell
* energy relative to the elements: 65 kJ per mole of atoms

***

# 2
The following is a PBE calculation of an optimized crystal structure of Ir, from Alexandria via LeMat-Bulk.

Cell: 6.4994 6.4994 5.0885 Å, 90.00 90.00 90.00°
With the nearest neighbours (Å) after each atom.
Atoms (fractional coordinates):
Ir (0.7020, 0.7020, 0.0000)  8 Ir 2.63-2.69
Ir (0.2980, 0.7020, 0.0000)  8 Ir 2.63-2.69
Ir (0.0000, 0.5000, 0.2500)  10 Ir 2.54-2.66
Ir (0.2020, 0.7980, 0.5000)  8 Ir 2.63-2.69
Ir (0.0000, 0.5000, 0.7500)  10 Ir 2.54-2.66
Ir (0.5000, 0.0000, 0.7500)  10 Ir 2.54-2.66
Ir (0.2980, 0.2980, 0.0000)  8 Ir 2.63-2.69
Ir (0.5000, 0.0000, 0.2500)  10 Ir 2.54-2.66
Ir (0.7020, 0.2980, 0.0000)  8 Ir 2.63-2.69
Ir (0.7980, 0.7980, 0.5000)  8 Ir 2.63-2.69
Ir (0.2020, 0.2020, 0.5000)  8 Ir 2.63-2.69
Ir (0.7980, 0.2020, 0.5000)  8 Ir 2.63-2.69

Output
* N(E_F): 15.778 states/eV/cell
* energy above the most stable polymorph in this dataset: 513 meV per atom
* space group: No. 139
* V: 215 Å³ per cell
* energy relative to the elements: 50 kJ per mole of atoms

***

# 3
The following is a PBE calculation of an optimized crystal structure of Ir, from Alexandria via LeMat-Bulk.

Cell: 2.6015 2.6622 4.5920 Å, 90.00 90.00 90.00°
With the nearest neighbours (Å) after each atom.
Atoms (fractional coordinates):
Ir (0.0000, 0.2500, 0.2500)  8 Ir 2.60-2.66
Ir (0.0000, 0.7500, 0.7500)  8 Ir 2.60-2.66

Output
* N(E_F): 1.574 states/eV/cell
* energy above the most stable polymorph in this dataset: 538 meV per atom
* space group: No. 65
* V: 32 Å³ per cell
* energy relative to the elements: 52 kJ per mole of atoms

***

# 4
The following is a PBE calculation of an optimized crystal structure of Ir, from Alexandria via LeMat-Bulk.

Cell: 10.2924 10.2924 3.8681 Å, 90.00 90.00 90.00°
With the nearest neighbours (Å) after each atom.
Atoms (fractional coordinates):
Ir (0.1206, 0.7112, 0.5000)  4 Ir 2.40-2.43
Ir (0.2888, 0.1206, 0.5000)  4 Ir 2.40-2.43
Ir (0.2219, 0.6126, 0.0000)  4 Ir 2.40-2.43
Ir (0.3874, 0.2219, 0.0000)  4 Ir 2.40-2.43
Ir (0.2781, 0.8874, 0.5000)  4 Ir 2.40-2.43
Ir (0.7219, 0.1126, 0.5000)  4 Ir 2.40-2.43
Ir (0.2112, 0.3794, 0.0000)  4 Ir 2.40-2.43
Ir (0.8794, 0.2888, 0.5000)  4 Ir 2.40-2.43
Ir (0.7888, 0.6206, 0.0000)  4 Ir 2.40-2.43
Ir (0.1126, 0.2781, 0.5000)  4 Ir 2.40-2.43
Ir (0.3794, 0.7888, 0.0000)  4 Ir 2.40-2.43
Ir (0.6126, 0.7781, 0.0000)  4 Ir 2.40-2.43
Ir (0.7112, 0.8794, 0.5000)  4 Ir 2.40-2.43
Ir (0.6206, 0.2112, 0.0000)  4 Ir 2.40-2.43
Ir (0.8874, 0.7219, 0.5000)  4 Ir 2.40-2.43
Ir (0.7781, 0.3874, 0.0000)  4 Ir 2.40-2.43

Output
* N(E_F): 17.260 states/eV/cell
* energy above the most stable polymorph in this dataset: 1177 meV per atom
* space group: No. 87
* V: 410 Å³ per cell
* energy relative to the elements: 114 kJ per mole of atoms

***

# 5
The following is a PBE calculation of an optimized crystal structure of Ir, from Alexandria via LeMat-Bulk.

Cell: 2.7361 2.7386 4.3263 Å, 90.00 108.62 90.00°
With the nearest neighbours (Å) after each atom.
Atoms (fractional coordinates):
Ir (0.6349, 0.7500, 0.7717)  10 Ir 2.61-2.74
Ir (0.3651, 0.2500, 0.2283)  10 Ir 2.61-2.74

Output
* N(E_F): 2.417 states/eV/cell
* energy above the most stable polymorph in this dataset: 228 meV per atom
* space group: No. 11
* V: 31 Å³ per cell
* energy relative to the elements: 22 kJ per mole of atoms

***

# 6
The following is a PBE calculation of an optimized crystal structure of Ir, from Alexandria via LeMat-Bulk.

Cell: 3.6949 3.6949 3.6949 Å, 98.09 98.09 135.93°
With the nearest neighbours (Å) after each atom.
Atoms (fractional coordinates):
Ir (0.1250, 0.8750, 0.7500)  6 Ir 2.52-2.77
Ir (0.8750, 0.1250, 0.2500)  6 Ir 2.52-2.77

Output
* N(E_F): 1.858 states/eV/cell
* energy above the most stable polymorph in this dataset: 667 meV per atom
* space group: No. 141
* V: 33 Å³ per cell
* energy relative to the elements: 64 kJ per mole of atoms